[1]
Entry from Alexandria via LeMat-Bulk: a geometry-optimized SmY2Se structure (PBE-GGA).

a = 3.7399 Å, b = 3.7399 Å, c = 10.5925 Å
α = 79.83°, β = 79.83°, γ = 60.00°
Each line ends with the local moment (μB).
Element x y z (fractional)
Se (0.5000, 0.5000, 0.5000)  0.00
Y (0.1091, 0.1091, 0.6728)  0.04
Y (0.8909, 0.8909, 0.3272)  0.04
Sm (0.0000, 0.0000, 0.0000)  0.25

Results
E above lowest polymorph ... 0.245 eV per atom
E ... -5.8669 eV per atom

[2]
Entry from Alexandria via LeMat-Bulk: a geometry-optimized Sm2Y4Se9 structure (PBE-GGA).

a = 7.2634 Å, b = 7.2660 Å, c = 19.5925 Å
α = 90.01°, β = 90.04°, γ = 60.05°
Element x y z (fractional)
Se (0.9725, 0.3695, 0.4167)
Se (0.9720, 0.6600, 0.9166)
Se (0.3418, 0.6301, 0.0836)
Se (0.6925, 0.3079, 0.2497)
Se (0.3071, 0.9996, 0.2499)
Se (0.3424, 0.0264, 0.5837)
Se (0.6582, 0.3699, 0.9164)
Se (0.3075, 0.6921, 0.7503)
Se (0.6576, 0.9736, 0.4163)
Se (0.3677, 0.6588, 0.4162)
Se (0.9988, 0.6927, 0.2501)
Se (0.3702, 0.9718, 0.9165)
Se (0.6323, 0.3412, 0.5838)
Se (0.0275, 0.6305, 0.5833)
Se (0.0280, 0.3400, 0.0834)
Se (0.6929, 0.0004, 0.7501)
Se (0.0012, 0.3073, 0.7499)
Se (0.6298, 0.0282, 0.0835)
Y (0.6656, 0.6669, 0.3182)
Y (0.3329, 0.3335, 0.9859)
Y (0.6660, 0.6668, 0.5136)
Y (0.3344, 0.3331, 0.6818)
Y (0.6671, 0.6665, 0.0141)
Y (0.3340, 0.3332, 0.4864)
Y (0.3323, 0.3337, 0.1822)
Y (0.6677, 0.6663, 0.8178)
Sm (0.9989, 0.0017, 0.3499)
Sm (0.0011, 0.9983, 0.6501)
Sm (0.9998, 0.9987, 0.1498)
Sm (0.0002, 0.0013, 0.8502)

Results
E ... -6.3148 eV per atom

[3]
Entry from Alexandria via LeMat-Bulk: a geometry-optimized Sm4Y2Se9 structure (PBE-GGA).

a = 7.3211 Å, b = 7.3245 Å, c = 19.6769 Å
α = 90.01°, β = 90.04°, γ = 60.06°
Element x y z (fractional)
Sm (0.6678, 0.6662, 0.8174)
Sm (0.3328, 0.3336, 0.9820)
Sm (0.3344, 0.3331, 0.6822)
Sm (0.3341, 0.3333, 0.4827)
Sm (0.6659, 0.6667, 0.5173)
Sm (0.3322, 0.3338, 0.1826)
Sm (0.6672, 0.6664, 0.0180)
Sm (0.6656, 0.6669, 0.3178)
Se (0.0341, 0.3226, 0.0827)
Se (0.0334, 0.6416, 0.5826)
Se (0.6746, 0.9678, 0.4169)
Se (0.6409, 0.0344, 0.0829)
Se (0.2988, 0.7006, 0.7504)
Se (0.3564, 0.6759, 0.4168)
Se (0.9986, 0.7014, 0.2501)
Se (0.3247, 0.6411, 0.0830)
Se (0.3254, 0.0322, 0.5831)
Se (0.0014, 0.2986, 0.7499)
Se (0.6436, 0.3241, 0.5832)
Se (0.6753, 0.3589, 0.9170)
Se (0.7012, 0.2994, 0.2496)
Se (0.9659, 0.6774, 0.9173)
Se (0.2986, 0.9995, 0.2498)
Se (0.3591, 0.9656, 0.9171)
Se (0.7014, 0.0005, 0.7502)
Se (0.9666, 0.3584, 0.4174)
Y (0.9998, 0.9985, 0.1520)
Y (0.9987, 0.0020, 0.3476)
Y (0.0002, 0.0015, 0.8480)
Y (0.0013, 0.9980, 0.6524)

Results
E ... -6.0805 eV per atom

[4]
Entry from Alexandria via LeMat-Bulk: a geometry-optimized Sm2YSe structure (PBE-GGA).

a = 3.8627 Å, b = 3.8627 Å, c = 9.9273 Å
α = 78.78°, β = 78.78°, γ = 60.00°
Each line ends with the local moment (μB).
Element x y z (fractional)
Sm (0.7321, 0.7321, 0.8038)  0.04
Sm (0.2679, 0.2679, 0.1962)  0.04
Se (0.0000, 0.0000, 0.0000)  0.00
Y (0.5000, 0.5000, 0.5000)  0.20

Results
E above lowest polymorph ... 0.022 eV per atom
E ... -5.6342 eV per atom

[5]
Entry from Alexandria via LeMat-Bulk: a geometry-optimized SmYSe2 structure (PBE-GGA).

a = 7.2109 Å, b = 7.2109 Å, c = 7.2109 Å
α = 33.10°, β = 33.10°, γ = 33.10°
Element x y z (fractional)
Y (0.5000, 0.5000, 0.5000)
Se (0.2474, 0.2474, 0.2474)
Se (0.7526, 0.7526, 0.7526)
Sm (0.0000, 0.0000, 0.0000)

Results
E above lowest polymorph ... 0.000 eV per atom
E ... -6.3383 eV per atom

[6]
Entry from Alexandria via LeMat-Bulk: a geometry-optimized SmY3Se6 structure (PBE-GGA).

a = 7.2556 Å, b = 7.2556 Å, c = 7.7415 Å
α = 62.06°, β = 62.06°, γ = 60.00°
Element x y z (fractional)
Se (0.9435, 0.5463, 0.2509)
Se (0.2593, 0.9435, 0.2509)
Se (0.7509, 0.0548, 0.7523)
Se (0.0548, 0.4420, 0.7523)
Se (0.4420, 0.7509, 0.7523)
Se (0.5463, 0.2593, 0.2509)
Y (0.3481, 0.3481, 0.9556)
Y (0.6531, 0.6531, 0.0407)
Y (0.1514, 0.1514, 0.5458)
Sm (0.8506, 0.8506, 0.4481)

Results
E above lowest polymorph ... 0.030 eV per atom
E ... -6.3612 eV per atom

[7]
Entry from Alexandria via LeMat-Bulk: a geometry-optimized Sm2ZnSe structure (PBE-GGA).

a = 3.6954 Å, b = 3.6954 Å, c = 7.0264 Å
α = 90.00°, β = 90.00°, γ = 90.00°
Element x y z (fractional)
Zn (0.5000, 0.5000, 0.0000)
Se (0.5000, 0.5000, 0.5000)
Sm (0.0000, 0.0000, 0.2512)
Sm (0.0000, 0.0000, 0.7488)

Results
E above lowest polymorph ... 0.187 eV per atom
E ... -4.4233 eV per atom

[8]
Entry from Alexandria via LeMat-Bulk: a geometry-optimized Sm2ZnSe structure (PBE-GGA).

a = 4.3001 Å, b = 4.0714 Å, c = 11.9166 Å
α = 99.84°, β = 90.00°, γ = 90.00°
Element x y z (fractional)
Sm (0.7500, 0.9312, 0.8623)
Sm (0.2500, 0.3172, 0.6343)
Sm (0.7500, 0.6828, 0.3657)
Sm (0.2500, 0.0688, 0.1377)
Zn (0.2500, 0.4617, 0.9234)
Zn (0.7500, 0.5383, 0.0766)
Se (0.2500, 0.1927, 0.3855)
Se (0.7500, 0.8073, 0.6145)

Results
E above lowest polymorph ... 0.000 eV per atom
E ... -4.6106 eV per atom

[9]
Entry from Alexandria via LeMat-Bulk: a geometry-optimized Sm4ZnSe2 structure (PBE-GGA).

a = 8.0427 Å, b = 8.0427 Å, c = 8.0427 Å
α = 109.38°, β = 109.66°, γ = 109.38°
Element x y z (fractional)
Sm (0.6822, 0.8085, 0.4897)
Sm (0.6237, 0.6915, 0.9312)
Sm (0.0688, 0.6925, 0.7603)
Sm (0.6812, 0.1915, 0.8737)
Sm (0.1263, 0.8075, 0.3178)
Sm (0.5103, 0.1925, 0.3188)
Sm (0.2397, 0.3085, 0.9322)
Sm (0.0678, 0.3075, 0.3763)
Se (0.3744, 0.2494, 0.6250)
Se (0.8750, 0.2506, 0.6256)
Se (0.3750, 0.7494, 0.6244)
Se (0.3756, 0.7506, 0.1250)
Zn (0.0000, 0.0000, 0.0000)
Zn (0.7500, 0.5000, 0.2500)

Results
E ... -4.8832 eV per atom

[10]
Entry from Alexandria via LeMat-Bulk: a geometry-optimized Sm5Zn2Se2 structure (PBE-GGA).

a = 7.6644 Å, b = 7.8456 Å, c = 8.6175 Å
α = 90.00°, β = 63.60°, γ = 90.00°
Element x y z (fractional)
Sm (0.3097, 0.6631, 0.7146)
Sm (0.5243, 0.8369, 0.2854)
Sm (0.8097, 0.8369, 0.7146)
Sm (0.6903, 0.3369, 0.2854)
Sm (0.0000, 0.0000, 0.0000)
Sm (0.1903, 0.1631, 0.2854)
Sm (0.4757, 0.1631, 0.7146)
Sm (0.9757, 0.3369, 0.7146)
Sm (0.5000, 0.5000, 0.0000)
Sm (0.0243, 0.6631, 0.2854)
Zn (0.6214, 0.1207, 0.0000)
Zn (0.3786, 0.8793, 0.0000)
Zn (0.8786, 0.6207, 0.0000)
Zn (0.1214, 0.3793, 0.0000)
Se (0.6954, 0.5000, 0.6091)
Se (0.8046, 0.0000, 0.3909)
Se (0.1954, 0.0000, 0.6091)
Se (0.3046, 0.5000, 0.3909)

Results
E ... -4.5661 eV per atom

[11]
Entry from Alexandria via LeMat-Bulk: a geometry-optimized SmZnSe structure (PBE-GGA).

a = 4.5710 Å, b = 4.5710 Å, c = 9.5948 Å
α = 90.00°, β = 90.00°, γ = 120.00°
Element x y z (fractional)
Zn (0.3333, 0.6667, 0.0135)
Zn (0.6667, 0.3333, 0.9865)
Sm (0.0000, 0.0000, 0.1924)
Sm (0.0000, 0.0000, 0.8076)
Se (0.3333, 0.6667, 0.3069)
Se (0.6667, 0.3333, 0.6931)

Results
E ... -4.2173 eV per atom

[12]
Entry from Alexandria via LeMat-Bulk: a geometry-optimized Sm5ZnSe4 structure (PBE-GGA).

a = 5.9171 Å, b = 7.2529 Å, c = 7.2529 Å
α = 80.42°, β = 65.93°, γ = 65.93°
Element x y z (fractional)
Se (0.5996, 0.5997, 0.2034)
Se (0.1993, 0.2034, 0.4003)
Se (0.8030, 0.7966, 0.5997)
Se (0.4027, 0.4003, 0.7966)
Sm (0.1005, 0.6022, 0.1989)
Sm (0.5009, 0.0000, 0.0000)
Sm (0.7026, 0.1989, 0.3978)
Sm (0.2994, 0.8011, 0.6022)
Sm (0.9016, 0.3978, 0.8011)
Zn (0.0008, 0.0000, 0.0000)

Results
E ... -5.4208 eV per atom